one:
# ErCO4

ErCO4 at its PBEsol-relaxed geometry (SCAN, the Alexandria database).

a = 4.7034 Å, b = 7.0618 Å, c = 8.7203 Å
α = 90.00°, β = 90.00°, γ = 90.00°
With the nearest neighbours (Å) after each atom.
Space group P2_12_12_1 (No. 19)
Asymmetric unit:
Er 0.0347 0.1420 0.1686  6 O 2.16-2.41
C 0.0165 0.0357 0.8394  3 O 1.27-1.31
O 0.0273 0.8345 0.1425  2 Er 2.16-2.18, 1 O 2.28
O 0.0469 0.4257 0.7710  1 C 1.27
O 0.1665 0.6196 0.5737  1 C 1.29
O 0.2139 0.9369 0.3697  1 C 1.31

Calculated volume in Å³/f.u.: 72.41
Size of the total moment in μB/f.u.: 1.0



two:
# ErCO4

ErCO4 at its PBEsol-relaxed geometry (SCAN, the Alexandria database).

a = 11.6997 Å, b = 11.6997 Å, c = 9.5459 Å
α = 90.00°, β = 90.00°, γ = 120.00°
With the nearest neighbours (Å) after each atom.
Space group P-6 (No. 174)
Asymmetric unit:
Er 0.2163 0.4371 0.2464  9 O 2.27-2.49
Er 0.2277 0.1156 0.2440  9 O 2.28-2.49
Er 0.5510 0.4460 0.2586  9 O 2.28-2.51
C 0.0234 0.1948 0.5000  3 O 1.29
C 0.0931 0.2072 0.0000  3 O 1.28-1.29
C 0.1279 0.5553 0.0000  3 O 1.29
C 0.1370 0.4985 0.5000  3 O 1.28-1.29
C 0.4608 0.2399 0.5000  3 O 1.28-1.29
C 0.4676 0.3108 0.0000  3 O 1.28-1.29
O 0.0000 0.0000 0.2483  3 Er 2.31
O 0.0038 0.6701 0.3053  3 Er 2.27-2.29, 3 O 2.43-2.53
O 0.0762 0.2450 0.3811  1 C 1.29
O 0.0837 0.8433 0.1170  1 C 1.29
O 0.0851 0.4989 0.3817  1 C 1.28
O 0.0995 0.5897 0.1174  1 C 1.29
O 0.1752 0.0334 0.0000  1 C 1.28
O 0.1820 0.0921 0.5000  1 C 1.29
O 0.1851 0.4859 0.0000  1 C 1.29
O 0.2434 0.4911 0.5000  1 C 1.29
O 0.3333 0.6667 0.2540  3 Er 2.33
O 0.3377 0.0055 0.1934  3 Er 2.28-2.30, 3 O 2.47-2.51
O 0.4166 0.2572 0.1182  1 C 1.28
O 0.4297 0.1770 0.3825  1 C 1.29
O 0.5235 0.3665 0.5000  1 C 1.28
O 0.5736 0.4252 0.0000  1 C 1.29
O 0.6667 0.3333 0.2481  3 Er 2.32

Calculated volume in Å³/f.u.: 62.87
Size of the total moment in μB/f.u.: 1.0



Order from most stable to least stable according to the calculation: two, one



one:
# GaCF2

GaCF2 at its PBEsol-relaxed geometry (SCAN, the Alexandria database).

a = 2.6309 Å, b = 2.6309 Å, c = 21.4036 Å
α = 90.00°, β = 90.00°, γ = 120.00°
With the nearest neighbours (Å) after each atom.
Space group R-3m (No. 166, hexagonal axes)
Asymmetric unit:
Ga 0.0000 0.0000 0.0000  6 F 2.36, 6 Ga 2.63
C 0.0000 0.0000 0.5000  2 F 1.76
F 0.0000 0.0000 0.4180  1 C 1.76

Calculated volume in Å³/f.u.: 42.77
Size of the total moment in μB/f.u.: 0.0



two:
# GaCF2

GaCF2 at its PBEsol-relaxed geometry (SCAN, the Alexandria database).

a = 7.5471 Å, b = 7.5471 Å, c = 3.8958 Å
α = 90.00°, β = 90.00°, γ = 90.00°
With the nearest neighbours (Å) after each atom.
Space group I-42d (No. 122)
Asymmetric unit:
Ga 0.0000 0.0000 0.0000  2 C 1.95, 4 F 2.04
C 0.0000 0.0000 0.5000  2 Ga 1.95
F 0.0787 0.2500 0.1250  2 Ga 2.04

Calculated volume in Å³/f.u.: 55.48
Size of the total moment in μB/f.u.: 1.0



Order from most stable to least stable according to the calculation: two, one



one:
# La2C2F

La2C2F at its PBEsol-relaxed geometry (SCAN, the Alexandria database).

a = 3.7230 Å, b = 3.7230 Å, c = 13.2226 Å
α = 90.00°, β = 90.00°, γ = 90.00°
With the nearest neighbours (Å) after each atom.
Space group I4/mmm (No. 139)
Asymmetric unit:
La 0.0000 0.0000 0.1359  4 C 2.40
C 0.0000 0.5000 0.2500  4 La 2.40, 4 C 2.63
F 0.0000 0.0000 0.5000  8 La 3.19

Calculated volume in Å³/f.u.: 91.64
Size of the total moment in μB/f.u.: 0.0



two:
# La2C2F

La2C2F at its PBEsol-relaxed geometry (SCAN, the Alexandria database).

a = 6.9418 Å, b = 6.9418 Å, c = 3.4654 Å
α = 90.00°, β = 90.00°, γ = 90.00°
With the nearest neighbours (Å) after each atom.
Space group P4/mbm (No. 127)
Asymmetric unit:
La 0.1993 0.3007 0.0000  2 F 2.50, 4 C 2.70
C 0.0705 0.5705 0.5000  1 C 1.38
F 0.0000 0.0000 0.0000  4 La 2.50

Calculated volume in Å³/f.u.: 83.49
Size of the total moment in μB/f.u.: 0.0



Order from most stable to least stable according to the calculation: two, one



one:
# LiCN2F

LiCN2F at its PBEsol-relaxed geometry (SCAN, the Alexandria database).

a = 2.8855 Å, b = 2.8855 Å, c = 6.0311 Å
α = 90.00°, β = 90.00°, γ = 90.00°
With the nearest neighbours (Å) after each atom.
Space group P4/mmm (No. 123)
Asymmetric unit:
Li 0.0000 0.0000 0.0000  4 F 2.04
C 0.5000 0.5000 0.5000  4 N 1.44
N 0.0000 0.5000 0.5000  2 C 1.44
F 0.5000 0.5000 0.0000  4 Li 2.04

Calculated volume in Å³/f.u.: 50.22
Size of the total moment in μB/f.u.: 0.0



two:
# LiCN2F

LiCN2F at its PBEsol-relaxed geometry (SCAN, the Alexandria database).

a = 3.9819 Å, b = 3.9819 Å, c = 3.2267 Å
α = 90.00°, β = 90.00°, γ = 90.00°
With the nearest neighbours (Å) after each atom.
Space group P4/mmm (No. 123)
Asymmetric unit:
Li 0.0000 0.0000 0.0000  2 F 1.61
C 0.5000 0.5000 0.5000  8 N 2.56, 4 F 2.82
N 0.0000 0.5000 0.0000  2 Li 1.99
F 0.0000 0.0000 0.5000  2 Li 1.61

Calculated volume in Å³/f.u.: 51.16
Size of the total moment in μB/f.u.: 4.0



Order from most stable to least stable according to the calculation: one, two



one:
# ScCNF2

ScCNF2 at its PBEsol-relaxed geometry (SCAN, the Alexandria database).

a = 4.4762 Å, b = 4.4762 Å, c = 2.5045 Å
α = 90.00°, β = 90.00°, γ = 90.00°
With the nearest neighbours (Å) after each atom.
Space group P4/mmm (No. 123)
Asymmetric unit:
Sc 0.0000 0.0000 0.0000  2 Sc 2.50, 8 F 2.56
C 0.5000 0.5000 0.5000  2 N 1.25
N 0.5000 0.5000 0.0000  2 C 1.25
F 0.0000 0.5000 0.5000  2 C 2.24, 2 F 2.50

Calculated volume in Å³/f.u.: 50.18
Size of the total moment in μB/f.u.: 0.0



two:
# ScCNF2

ScCNF2 at its PBEsol-relaxed geometry (SCAN, the Alexandria database).

a = 3.9066 Å, b = 3.9066 Å, c = 4.4398 Å
α = 90.00°, β = 90.00°, γ = 90.00°
With the nearest neighbours (Å) after each atom.
Space group P4/mmm (No. 123)
Asymmetric unit:
Sc 0.0000 0.0000 0.0000  4 F 1.95
C 0.5000 0.5000 0.5000  4 N 2.76, 8 F 2.96
N 0.0000 0.0000 0.5000  2 Sc 2.22
F 0.0000 0.5000 0.0000  2 Sc 1.95

Calculated volume in Å³/f.u.: 67.76
Size of the total moment in μB/f.u.: 0.0



Order from most stable to least stable according to the calculation: one, two



one:
# FeC3

FeC3 at its PBEsol-relaxed geometry (SCAN, the Alexandria database).

a = 4.1818 Å, b = 12.1292 Å, c = 2.5283 Å
α = 90.00°, β = 90.00°, γ = 90.00°
With the nearest neighbours (Å) after each atom.
Space group Cmcm (No. 63)
Asymmetric unit:
Fe 0.0000 0.0790 0.2500  4 C 2.08-2.19, 2 Fe 2.30
C 0.0000 0.4759 0.7500  2 C 1.39
C 0.1683 0.2405 0.2500  3 C 1.41-1.46

Calculated volume in Å³/f.u.: 32.06
Size of the total moment in μB/f.u.: 2.3



two:
# FeC3

FeC3 at its PBEsol-relaxed geometry (SCAN, the Alexandria database).

a = 3.3647 Å, b = 3.3647 Å, c = 2.5103 Å
α = 90.00°, β = 90.00°, γ = 90.00°
With the nearest neighbours (Å) after each atom.
Space group P4/mmm (No. 123)
Asymmetric unit:
Fe 0.0000 0.0000 0.0000  8 C 2.10
C 0.0000 0.5000 0.5000  4 Fe 2.10, 4 C 2.10
C 0.5000 0.5000 0.0000  8 C 2.10

Calculated volume in Å³/f.u.: 28.42
Size of the total moment in μB/f.u.: 0.0



Order from most stable to least stable according to the calculation: one, two



one:
# Na2FePCO7

Na2FePCO7 at its PBEsol-relaxed geometry (SCAN, the Alexandria database).

a = 5.2403 Å, b = 6.4948 Å, c = 8.8012 Å
α = 85.78°, β = 89.30°, γ = 89.22°
With the nearest neighbours (Å) after each atom.
Space group P-1 (No. 2)
Asymmetric unit:
Na 0.2319 0.2807 0.4182  4 O 2.34-2.61
Na 0.2473 0.0011 0.7613  5 O 2.23-2.49
Fe 0.2228 0.7282 0.1550  6 O 1.93-2.14
P 0.2801 0.2375 0.0740  4 O 1.54-1.56
C 0.2843 0.7565 0.4349  3 O 1.26-1.31
O 0.0582 0.7295 0.3778  1 C 1.31
O 0.1155 0.2417 0.9302  1 P 1.54
O 0.2131 0.0518 0.1866  1 P 1.55
O 0.2371 0.4305 0.1641  1 P 1.54
O 0.3169 0.7973 0.5712  1 C 1.26
O 0.4348 0.7795 0.9751  1 P 1.56
O 0.4744 0.7345 0.3393  1 C 1.31

Calculated volume in Å³/f.u.: 149.34
Size of the total moment in μB/f.u.: 5.0



two:
# Na2FePCO7

Na2FePCO7 at its PBEsol-relaxed geometry (SCAN, the Alexandria database).

a = 5.2555 Å, b = 6.4831 Å, c = 8.8471 Å
α = 90.00°, β = 91.87°, γ = 90.00°
With the nearest neighbours (Å) after each atom.
Space group P2_1 (No. 4)
Asymmetric unit:
Na 0.2240 0.0000 0.0806  4 O 2.31-2.53
Na 0.2538 0.2586 0.7294  5 O 2.24-2.50
Fe 0.2176 0.4734 0.3457  6 O 1.94-2.11
P 0.2755 0.9831 0.4245  4 O 1.54-1.56
C 0.2932 0.4860 0.0686  3 O 1.27-1.31
O 0.0637 0.4876 0.1230  1 C 1.31
O 0.1145 0.9953 0.5664  1 P 1.54
O 0.2075 0.7956 0.3234  1 P 1.54
O 0.2276 0.1732 0.3217  1 P 1.55
O 0.3305 0.4658 0.9288  1 C 1.27
O 0.4386 0.4715 0.5251  1 P 1.56
O 0.4781 0.5014 0.1698  1 C 1.30

Calculated volume in Å³/f.u.: 150.64
Size of the total moment in μB/f.u.: 5.0



Order from most stable to least stable according to the calculation: one, two



one:
# FeNiC3

FeNiC3 at its PBEsol-relaxed geometry (SCAN, the Alexandria database).

a = 3.6298 Å, b = 3.6298 Å, c = 3.6298 Å
α = 90.00°, β = 90.00°, γ = 90.00°
With the nearest neighbours (Å) after each atom.
Space group Pm-3m (No. 221)
Asymmetric unit:
Fe 0.0000 0.0000 0.0000  6 C 1.81
Ni 0.5000 0.5000 0.5000  12 C 2.57
C 0.0000 0.0000 0.5000  2 Fe 1.81

Calculated volume in Å³/f.u.: 47.82
Size of the total moment in μB/f.u.: 0.0



two:
# FeNiC3

FeNiC3 at its PBEsol-relaxed geometry (SCAN, the Alexandria database).

a = 3.6707 Å, b = 3.6707 Å, c = 3.6707 Å
α = 90.00°, β = 90.00°, γ = 90.00°
With the nearest neighbours (Å) after each atom.
Space group Pm-3m (No. 221)
Asymmetric unit:
Fe 0.0000 0.0000 0.0000  12 C 2.60
Ni 0.5000 0.5000 0.5000  6 C 1.84
C 0.0000 0.5000 0.5000  2 Ni 1.84

Calculated volume in Å³/f.u.: 49.46
Size of the total moment in μB/f.u.: 2.3



Order from most stable to least stable according to the calculation: one, two



one:
# Ga2C3N6

Ga2C3N6 at its PBEsol-relaxed geometry (SCAN, the Alexandria database).

a = 5.5900 Å, b = 5.5900 Å, c = 27.9005 Å
α = 90.00°, β = 90.00°, γ = 120.00°
With the nearest neighbours (Å) after each atom.
Space group R-3c (No. 167, hexagonal axes)
Asymmetric unit:
Ga 0.0000 0.0000 0.1641  6 N 2.03-2.10
C 0.0000 0.3094 0.2500  2 N 1.23
N 0.0015 0.3919 0.9595  1 C 1.23

Calculated volume in Å³/f.u.: 125.84
Size of the total moment in μB/f.u.: 0.0



two:
# Ga2C3N6

Ga2C3N6 at its PBEsol-relaxed geometry (SCAN, the Alexandria database).

a = 16.9002 Å, b = 3.2287 Å, c = 5.0811 Å
α = 90.00°, β = 96.13°, γ = 90.00°
With the nearest neighbours (Å) after each atom.
Space group C2/m (No. 12)
Asymmetric unit:
Ga 0.1701 0.0000 0.0862  1 N 1.83
C 0.0000 0.0000 0.0000  2 N 1.22
C 0.1833 0.5000 0.5927  2 N 1.21-1.25
N 0.0673 0.0000 0.9334  1 C 1.22
N 0.1661 0.5000 0.3551  1 C 1.21
N 0.2063 0.5000 0.8355  1 C 1.25

Calculated volume in Å³/f.u.: 137.83
Size of the total moment in μB/f.u.: 0.0



Order from most stable to least stable according to the calculation: one, two